Below is a relaxed structure of BiP2RuO, with properties calculated at the GGA-PBEsol level.

Calculated values
For the electronic total energy, the calculation gives -24.13 eV/cell. Its uncorrected formation energy is 1433 meV per atom.

```
data_BiP2RuO
_symmetry_space_group_name_H-M 'P 4/m m m'
_symmetry_Int_Tables_number 123
_symmetry_space_group_name_Hall '-P 4 2'
_cell_length_a 5.1228
_cell_length_b 5.1228
_cell_length_c 4.0311
_cell_angle_alpha 90.00
_cell_angle_beta 90.00
_cell_angle_gamma 90.00
loop_
_atom_site_label
_atom_site_type_symbol
_atom_site_fract_x
_atom_site_fract_y
_atom_site_fract_z
Bi1 Bi 0.0000 0.0000 0.0000
P1 P 0.0000 0.5000 0.0000
Ru1 Ru 0.5000 0.5000 0.5000
O1 O 0.0000 0.0000 0.5000
```